Compound: K2ZrCrO6
Source: the Alexandria database
Functional: PBE with a Hubbard U
Structure: optimized geometry

Spin magnetization   0.021 μB per formula unit
Symmetry   Fm-3m (225)
Uncorrected energy   -6.67 eV per atom

a b c (Å): 5.6630 5.6630 5.6630
angles (deg): 60.00 60.00 60.00
Positions (direct):
K 0.7500 0.7500 0.7500
K 0.2500 0.2500 0.2500
Cr 0.0000 0.0000 0.0000
O 0.7649 0.2351 0.7649
O 0.7649 0.2351 0.2351
O 0.2351 0.2351 0.7649
O 0.7649 0.7649 0.2351
O 0.2351 0.7649 0.7649
O 0.2351 0.7649 0.2351
Zr 0.5000 0.5000 0.5000